DFT (PBE) results for a relaxed structure of ScCo4.

a b c (Å): 4.5070 4.5070 4.5070
angles (deg): 99.94 99.94 130.89
Fractional coordinates of all 5 atoms:
Sc 0.0000 0.0000 0.0000
Co 0.1876 0.4194 0.6070
Co 0.4194 0.8124 0.2317
Co 0.5806 0.1876 0.7683
Co 0.8124 0.5806 0.3930

Computed properties:
calculated formation energy: -7 kJ/mol of formula units
symmetry: I4/m (87)